SmPu4Pb5: optimized geometry, PBE-GGA.

Computed properties:
total magnetization: 0.16 Bohr magnetons per cell
energy: -8.21 eV/atom
space-group type: P4/mmm (123)
formation enthalpy at 0 K: -0.151 eV per atom

The structure in POSCAR format:
```
SmPu4Pb5
1.0
4.135 0.000 0.000
0.000 4.135 0.000
0.000 0.000 16.640
Sm Pu Pb
1 4 5
direct
0.000 0.000 0.000
0.000 0.000 0.206
0.000 0.000 0.402
0.000 0.000 0.598
0.000 0.000 0.794
0.500 0.500 0.102
0.500 0.500 0.302
0.500 0.500 0.500
0.500 0.500 0.698
0.500 0.500 0.898
```